An optimized crystal structure of Th2Zn12Ga5, computed with PBE.

Geometry as CIF:
```
data_Th2Zn12Ga5
_chemical_formula_sum 'Th2 Zn12 Ga5'
_cell_length_a 6.945
_cell_length_b 6.945
_cell_length_c 6.945
_cell_angle_alpha 84.97
_cell_angle_beta 84.97
_cell_angle_gamma 84.97
_symmetry_space_group_name_H-M 'P 1'
_symmetry_Int_Tables_number 1
_symmetry_space_group_name_Hall 'P 1'
loop_
_atom_site_label
_atom_site_type_symbol
_atom_site_fract_x
_atom_site_fract_y
_atom_site_fract_z
_atom_site_occupancy
Ga1 Ga 0.000 0.500 0.000 1
Th1 Th 0.329 0.329 0.329 1
Th2 Th 0.671 0.671 0.671 1
Zn1 Zn 0.352 0.825 0.352 1
Zn2 Zn 0.689 0.000 0.311 1
Ga2 Ga 0.500 0.000 0.000 1
Zn3 Zn 0.825 0.352 0.352 1
Zn4 Zn 0.311 0.689 0.000 1
Ga3 Ga 0.903 0.903 0.903 1
Ga4 Ga 0.000 0.000 0.500 1
Ga5 Ga 0.097 0.097 0.097 1
Zn5 Zn 0.311 0.000 0.689 1
Zn6 Zn 0.175 0.648 0.648 1
Zn7 Zn 0.648 0.175 0.648 1
Zn8 Zn 0.000 0.689 0.311 1
Zn9 Zn 0.648 0.648 0.175 1
Zn10 Zn 0.000 0.311 0.689 1
Zn11 Zn 0.689 0.311 0.000 1
Zn12 Zn 0.352 0.352 0.825 1
```

Calculated values
For the density, the calculation gives 8.01 g cm⁻³. For the magnetic moment, the calculation gives 0.000 μB per atom. The raw total energy comes out at -2.551 eV/atom. The space group is No. 166. The energy of formation from the pure elements comes out at -0.168 eV per atom.